Entry from Alexandria via LeMat-Bulk: a geometry-optimized CeGdTlCd structure (PBE).

Lattice parameters (Å, degrees): 7.6780 7.6780 7.6780 90.00 90.00 90.00
Space group F-43m (No. 216)
One atom of each set of equivalent atoms:
Ce1 0.0000 0.0000 0.0000 (multiplicity 4)
Gd1 0.0000 0.0000 0.5000 (multiplicity 4)
Tl1 0.2500 0.2500 0.2500 (multiplicity 4)
Cd1 0.2500 0.2500 0.7500 (multiplicity 4)

Properties
VASP energy   -6.10 eV per atom
Energy of formation from the pure elements   -278 meV per atom


Entry from Alexandria via LeMat-Bulk: a geometry-optimized Zr2Zn2Si structure (PBE).

Lattice parameters (Å, degrees): 6.5103 6.5103 4.1820 90.00 90.00 90.00
Space group P4/mbm (No. 127)
One atom of each set of equivalent atoms:
Zr1 0.1724 0.3276 0.0000 (multiplicity 4)
Zn1 0.1311 0.6311 0.5000 (multiplicity 4)
Si1 0.0000 0.0000 0.5000 (multiplicity 2)

Properties
Energy relative to the elements, uncorrected   -0.30 eV per atom
VASP energy   -5.31 eV per atom
ΔE to the lowest computed polymorph   0 meV per atom


Entry from Alexandria via LeMat-Bulk: a geometry-optimized FeMo2Br structure (PBE).

Lattice parameters (Å, degrees): 3.7472 3.7472 8.9973 90.00 90.00 90.00
Space group I4/mmm (No. 139)
One atom of each set of equivalent atoms:
Fe1 0.0000 0.0000 0.0000 (multiplicity 2)
Mo1 0.0000 0.5000 0.2500 (multiplicity 4)
Br1 0.0000 0.0000 0.5000 (multiplicity 2)

Properties
Energy relative to the elements, uncorrected   0.98 eV per atom
VASP energy   -6.97 eV per atom
ΔE to the lowest computed polymorph   532 meV per atom


Entry from Alexandria via LeMat-Bulk: a geometry-optimized ZrV2ZnSn structure (PBE).

Lattice parameters (Å, degrees): 4.7717 4.7717 5.4596 90.00 90.00 90.00
Space group P4/mmm (No. 123)
One atom of each set of equivalent atoms:
Zr1 0.0000 0.0000 0.0000 (multiplicity 1)
V1 0.0000 0.5000 0.0000 (multiplicity 2)
Zn1 0.5000 0.5000 0.5000 (multiplicity 1)
Sn1 0.0000 0.0000 0.5000 (multiplicity 1)

Properties
VASP energy   -5.02 eV per atom
Energy of formation from the pure elements   1388 meV per atom


Entry from Alexandria via LeMat-Bulk: a geometry-optimized ReSiTeN2 structure (PBE).

Lattice parameters (Å, degrees): 3.9006 3.9006 5.6844 90.00 90.00 90.00
Space group P4/mmm (No. 123)
One atom of each set of equivalent atoms:
Re1 0.0000 0.0000 0.0000 (multiplicity 1)
Si1 0.5000 0.5000 0.5000 (multiplicity 1)
Te1 0.0000 0.0000 0.5000 (multiplicity 1)
N1 0.0000 0.5000 0.0000 (multiplicity 2)

Properties
Energy relative to the elements, uncorrected   0.74 eV per atom
VASP energy   -6.80 eV per atom
ΔE to the lowest computed polymorph   0 meV per atom


Entry from Alexandria via LeMat-Bulk: a geometry-optimized K3Pu2ScS6 structure (PBE).

Lattice parameters (Å, degrees): 6.9680 12.0707 7.6851 90.00 107.62 90.00
Space group C2/m (No. 12)
One atom of each set of equivalent atoms:
K1 0.0000 0.0000 0.0000 (multiplicity 2)
K2 0.0000 0.3322 0.0000 (multiplicity 4)
Pu1 0.0000 0.1666 0.5000 (multiplicity 4)
Sc1 0.0000 0.5000 0.5000 (multiplicity 2)
S1 0.2262 0.3397 0.6977 (multiplicity 8)
S2 0.2454 0.0000 0.6976 (multiplicity 4)

Properties
Energy relative to the elements, uncorrected   -1.63 eV per atom
VASP energy   -6.88 eV per atom


| no. | magnetization (μB/atom) | calculated volume (Å³/f.u.) |
| --- | --- | --- |
| 1 | 2.26 | 113 |
| 2 | 0.00 | 89 |
| 3 | 0.56 | 63 |
| 4 | 0.68 | 124 |
| 5 | 0.00 | 86 |
| 6 | 0.83 | 308 |